1.
A geometry-optimized LiTbScTl structure. Source: the Alexandria database, functional PBE.

```
LiTbScTl
1.0
-5.086 -0.441 0.674
-1.891 -1.151 4.649
-2.559 3.566 2.693
Tb Tl Li Sc
1 1 1 1
direct
0.750 0.750 0.750
0.500 0.500 0.500
0.000 0.000 0.000
0.250 0.250 0.250
```

Computed properties:
D(E_F) (states/eV/cell): 3.9
Formation energy from the elements (eV per atom): -0.1779
Space group: F-43m, No. 216
E (eV per atom): -3.99



2.
A geometry-optimized W2Au structure. Source: the Alexandria database, functional PBE.

```
W2Au
1.0
-4.615 1.401 -2.546
-4.056 -1.096 -3.477
-5.211 -2.710 4.142
W Au
4 2
direct
0.034 0.034 0.685
0.694 0.694 0.358
0.966 0.966 0.315
0.306 0.306 0.642
0.636 0.636 0.969
0.364 0.364 0.031
```

Computed properties:
D(E_F) (states/eV/cell): 2.8
Formation energy from the elements (eV per atom): 0.3842
Relative energy among the computed polymorphs (eV/atom): 0.019
Space group: C2/m, No. 12
E (eV per atom): -9.34